No. 1
Density functional theory data (GGA-PBE) for an optimized crystal structure of Tb8Zn2In.

Values from the calculation:
The energy relative to the lowest polymorph listed for this composition comes out at 102 meV/atom. Its space-group type is C2/m.

extended XYZ file:
```
11
Lattice="4.387 -7.021 0.000 4.387 7.021 0.000 -1.763 0.000 5.121" Properties=species:S:1:pos:R:3 pbc="T T T"
Tb 0.745 1.693 3.052
Tb 4.387 3.755 0.000
Tb 0.745 -1.693 3.052
Tb 3.131 0.000 1.004
Tb 3.879 0.000 4.117
Tb 6.265 1.693 2.069
Tb 4.387 -3.755 0.000
Tb 6.265 -1.693 2.069
Zn 3.505 2.695 2.561
Zn 3.505 -2.695 2.561
In 0.000 0.000 0.000
```

---

No. 2
Density functional theory data (GGA-PBE) for an optimized crystal structure of Tb4Zn3In.

Values from the calculation:
The energy relative to the lowest polymorph listed for this composition comes out at 0 meV/atom. Its space-group type is Pmmm.

extended XYZ file:
```
8
Lattice="3.655 0.000 0.000 0.000 5.142 0.000 0.000 0.000 10.268" Properties=species:S:1:pos:R:3 pbc="T T T"
Tb 0.000 0.000 0.000
Tb 0.000 0.000 5.134
Tb 0.000 2.571 2.451
Tb 0.000 2.571 7.817
Zn 1.828 0.000 2.549
Zn 1.828 0.000 7.719
Zn 1.828 2.571 0.000
In 1.828 2.571 5.134
```

---

No. 3
Density functional theory data (GGA-PBE) for an optimized crystal structure of Tb12ZnIn3.

Values from the calculation:
Its space-group type is P4/mmm.

extended XYZ file:
```
16
Lattice="4.841 0.000 0.000 0.000 4.841 0.000 0.000 0.000 19.307" Properties=species:S:1:pos:R:3 pbc="T T T"
Tb 0.000 0.000 0.000
Tb 0.000 0.000 4.757
Tb 0.000 0.000 9.653
Tb 0.000 0.000 14.550
Tb 0.000 2.421 2.323
Tb 0.000 2.421 7.218
Tb 0.000 2.421 12.089
Tb 0.000 2.421 16.984
Tb 2.421 0.000 2.323
Tb 2.421 0.000 7.218
Tb 2.421 0.000 12.089
Tb 2.421 0.000 16.984
Zn 2.421 2.421 0.000
In 2.421 2.421 4.782
In 2.421 2.421 9.653
In 2.421 2.421 14.525
```

---

No. 4
Density functional theory data (GGA-PBE) for an optimized crystal structure of Tb8ZnIn2.

Values from the calculation:
The energy relative to the lowest polymorph listed for this composition comes out at 32 meV/atom. Its space-group type is C2/m.

extended XYZ file:
```
11
Lattice="9.274 -2.607 0.000 9.274 2.607 0.000 -1.624 0.000 6.593" Properties=species:S:1:pos:R:3 pbc="T T T"
Tb -0.146 0.000 1.788
Tb 2.498 0.000 5.227
Tb 5.576 0.000 3.503
Tb 7.488 0.000 0.271
Tb 9.437 0.000 6.322
Tb 11.348 0.000 3.090
Tb 14.426 0.000 1.365
Tb 17.071 0.000 4.805
Zn 8.462 0.000 3.296
In 3.050 0.000 1.577
In 13.875 0.000 5.016
```

---

No. 5
Density functional theory data (GGA-PBE) for an optimized crystal structure of Tb3ZnIn3.

Values from the calculation:
Its space-group type is C2/m.

extended XYZ file:
```
14
Lattice="5.627 -2.314 0.000 5.627 2.314 0.000 -4.874 0.000 14.132" Properties=species:S:1:pos:R:3 pbc="T T T"
Tb -1.436 0.000 5.425
Tb -3.382 0.000 12.987
Tb 1.587 0.000 3.164
Tb 4.793 0.000 10.968
Tb 9.762 0.000 1.145
Tb 7.816 0.000 8.707
Zn -0.106 0.000 8.681
Zn 6.486 0.000 5.451
In 1.855 0.000 6.424
In -0.250 0.000 13.085
In 1.612 0.000 10.803
In 4.768 0.000 3.329
In 6.631 0.000 1.047
In 4.525 0.000 7.708
```

---

No. 6
Density functional theory data (GGA-PBE) for an optimized crystal structure of Tb2ZnIn3.

Values from the calculation:
The energy relative to the lowest polymorph listed for this composition comes out at 0 meV/atom. Its space-group type is Fmmm.

extended XYZ file:
```
12
Lattice="0.000 4.845 8.369 3.590 0.000 8.369 3.590 4.845 0.000" Properties=species:S:1:pos:R:3 pbc="T T T"
Tb 1.795 2.422 4.184
Tb 5.388 4.845 8.369
Tb 1.792 4.845 8.369
Tb 5.385 7.267 12.553
Zn 3.590 4.845 2.792
Zn 3.590 4.845 13.945
In 3.590 2.354 6.929
In 3.590 4.845 5.491
In 3.590 2.354 9.808
In 3.590 7.335 6.929
In 3.590 4.845 11.246
In 3.590 7.335 9.808
```

---

No. 7
Density functional theory data (GGA-PBE) for an optimized crystal structure of Tb11Zn4In9.

Values from the calculation:
Its space-group type is Cmmm.

extended XYZ file:
```
24
Lattice="7.338 -11.028 0.000 7.338 11.028 0.000 0.000 0.000 3.737" Properties=species:S:1:pos:R:3 pbc="T T T"
Tb 0.000 0.000 0.000
Tb 3.505 3.824 0.000
Tb 7.338 7.464 0.000
Tb 4.420 0.000 0.000
Tb 7.338 2.903 0.000
Tb 3.505 -3.824 0.000
Tb 11.170 3.824 0.000
Tb 7.338 -2.903 0.000
Tb 10.255 0.000 0.000
Tb 7.338 -7.464 0.000
Tb 11.170 -3.824 0.000
Zn 5.135 2.196 1.869
Zn 5.135 -2.196 1.869
Zn 9.540 2.196 1.869
Zn 9.540 -2.196 1.869
In 2.100 1.612 1.869
In 5.781 5.225 1.869
In 2.100 -1.612 1.869
In 8.894 5.225 1.869
In 7.338 0.000 1.869
In 5.781 -5.225 1.869
In 12.576 1.612 1.869
In 8.894 -5.225 1.869
In 12.576 -1.612 1.869
```

---

No. 8
Density functional theory data (GGA-PBE) for an optimized crystal structure of TbZrZnIn.

Values from the calculation:
Its space-group type is F-43m.

extended XYZ file:
```
16
Lattice="7.123 0.000 0.000 0.000 7.123 0.000 0.000 0.000 7.123" Properties=species:S:1:pos:R:3 pbc="T T T"
Tb 0.000 0.000 0.000
Tb 0.000 3.561 3.561
Tb 3.561 0.000 3.561
Tb 3.561 3.561 0.000
Zr 0.000 0.000 3.561
Zr 0.000 3.561 0.000
Zr 3.561 0.000 0.000
Zr 3.561 3.561 3.561
Zn 1.781 1.781 1.781
Zn 1.781 5.342 5.342
Zn 5.342 1.781 5.342
Zn 5.342 5.342 1.781
In 1.781 1.781 5.342
In 1.781 5.342 1.781
In 5.342 1.781 1.781
In 5.342 5.342 5.342
```

---

No. 9
Density functional theory data (GGA-PBE) for an optimized crystal structure of TbZrIn.

Values from the calculation:
The energy relative to the lowest polymorph listed for this composition comes out at 191 meV/atom. Its space-group type is Cm.

extended XYZ file:
```
12
Lattice="10.853 0.000 0.000 0.000 4.384 0.000 -0.153 0.000 6.803" Properties=species:S:1:pos:R:3 pbc="T T T"
Tb 0.000 0.000 0.000
Tb 2.200 2.192 1.368
Tb 5.427 2.192 0.000
Tb 7.627 0.000 1.368
Zr 0.982 0.000 3.522
Zr 3.337 2.192 4.252
Zr 6.409 2.192 3.522
Zr 8.764 0.000 4.252
In 3.000 0.000 6.165
In 4.489 0.000 2.401
In 8.426 2.192 6.165
In 9.915 2.192 2.401
```

---

No. 10
Density functional theory data (GGA-PBE) for an optimized crystal structure of Tb2Zr2In7.

Values from the calculation:
Its space-group type is C2/m.

extended XYZ file:
```
11
Lattice="5.851 -4.504 0.000 5.851 4.504 0.000 -2.132 0.000 5.357" Properties=species:S:1:pos:R:3 pbc="T T T"
Tb 5.851 2.843 0.000
Tb 5.851 -2.843 0.000
Zr 1.165 0.000 4.568
Zr 8.404 0.000 0.789
In -1.066 0.000 2.678
In 2.914 1.666 1.802
In 4.098 0.000 3.997
In 2.914 -1.666 1.802
In 6.655 1.666 3.555
In 5.471 0.000 1.360
In 6.655 -1.666 3.555
```

---

No. 11
Density functional theory data (GGA-PBE) for an optimized crystal structure of Tb2ZrIn9.

Values from the calculation:
Its space-group type is P4/mmm.

extended XYZ file:
```
12
Lattice="4.607 0.000 0.000 0.000 4.607 0.000 0.000 0.000 13.761" Properties=species:S:1:pos:R:3 pbc="T T T"
Tb 0.000 0.000 2.377
Tb 0.000 0.000 11.384
Zr 0.000 0.000 6.880
In 0.000 2.304 0.000
In 0.000 2.304 4.676
In 0.000 2.304 9.084
In 2.304 0.000 0.000
In 2.304 0.000 4.676
In 2.304 0.000 9.084
In 2.304 2.304 2.314
In 2.304 2.304 6.880
In 2.304 2.304 11.446
```

---

No. 12
Density functional theory data (GGA-PBE) for an optimized crystal structure of TbZrIn.

Values from the calculation:
The energy relative to the lowest polymorph listed for this composition comes out at 0 meV/atom. Its space-group type is I4mm.

extended XYZ file:
```
6
Lattice="3.416 0.000 0.000 0.000 3.416 0.000 0.000 0.000 13.220" Properties=species:S:1:pos:R:3 pbc="T T T"
Tb 0.000 0.000 0.000
Tb 1.708 1.708 6.610
Zr 0.000 0.000 4.286
Zr 1.708 1.708 10.896
In 0.000 0.000 8.887
In 1.708 1.708 2.277
```

---

No. 13
Density functional theory data (GGA-PBE) for an optimized crystal structure of Tb4ZrIn5.

Values from the calculation:
Its space-group type is P4/mmm.

extended XYZ file:
```
10
Lattice="3.543 0.000 0.000 0.000 3.543 0.000 0.000 0.000 20.585" Properties=species:S:1:pos:R:3 pbc="T T T"
Tb 0.000 0.000 2.112
Tb 0.000 0.000 6.307
Tb 0.000 0.000 14.278
Tb 0.000 0.000 18.473
Zr 0.000 0.000 10.293
In 1.771 1.771 0.000
In 1.771 1.771 4.209
In 1.771 1.771 8.411
In 1.771 1.771 12.174
In 1.771 1.771 16.376
```

---

No. 14
Density functional theory data (GGA-PBE) for an optimized crystal structure of TbZrIn.

Values from the calculation:
The energy relative to the lowest polymorph listed for this composition comes out at 239 meV/atom. Its space-group type is P-6m2.

extended XYZ file:
```
3
Lattice="5.208 0.000 0.000 -2.604 4.510 0.000 0.000 0.000 3.136" Properties=species:S:1:pos:R:3 pbc="T T T"
Tb 0.000 0.000 0.000
Zr 0.000 3.007 0.000
In 2.604 1.503 1.568
```

---

No. 15
Density functional theory data (GGA-PBE) for an optimized crystal structure of Tb3ZrIn4.

Values from the calculation:
Its space-group type is P4/mmm.

extended XYZ file:
```
8
Lattice="3.797 0.000 0.000 0.000 3.797 0.000 0.000 0.000 14.280" Properties=species:S:1:pos:R:3 pbc="T T T"
Tb 0.000 0.000 0.000
Tb 0.000 0.000 3.727
Tb 0.000 0.000 10.552
Zr 0.000 0.000 7.140
In 1.899 1.899 1.863
In 1.899 1.899 5.560
In 1.899 1.899 8.719
In 1.899 1.899 12.416
```

---

No. 16
Density functional theory data (GGA-PBE) for an optimized crystal structure of Tb4ZrIn2.

Values from the calculation:
Its space-group type is R-3m.

extended XYZ file:
```
7
Lattice="2.697 1.557 8.617 -2.697 1.557 8.617 0.000 -3.114 8.617" Properties=species:S:1:pos:R:3 pbc="T T T"
Tb 0.000 0.000 3.380
Tb 0.000 0.000 6.862
Tb 0.000 0.000 18.990
Tb 0.000 0.000 22.472
Zr 0.000 0.000 12.926
In 0.000 0.000 9.968
In 0.000 0.000 15.884
```

---

No. 17
Density functional theory data (GGA-PBE) for an optimized crystal structure of TbZrIn6.

Values from the calculation:
Its space-group type is P4/mmm.

extended XYZ file:
```
8
Lattice="4.580 0.000 0.000 0.000 4.580 0.000 0.000 0.000 9.142" Properties=species:S:1:pos:R:3 pbc="T T T"
Tb 0.000 0.000 0.000
Zr 0.000 0.000 4.571
In 0.000 2.290 2.347
In 0.000 2.290 6.795
In 2.290 0.000 2.347
In 2.290 0.000 6.795
In 2.290 2.290 0.000
In 2.290 2.290 4.571
```

---

No. 18
Density functional theory data (GGA-PBE) for an optimized crystal structure of TbZr5In6.

Values from the calculation:
Its space-group type is C2/m.

extended XYZ file:
```
12
Lattice="7.146 -4.445 0.000 7.146 4.445 0.000 -1.429 0.000 4.313" Properties=species:S:1:pos:R:3 pbc="T T T"
Tb 0.000 0.000 0.000
Zr 1.490 0.000 2.895
Zr 4.291 0.000 1.438
Zr 7.146 0.000 0.000
Zr 8.573 0.000 2.875
Zr 11.374 0.000 1.418
In 3.553 2.205 3.587
In 6.432 2.188 2.156
In 9.310 2.205 0.726
In 3.553 -2.205 3.587
In 6.432 -2.188 2.156
In 9.310 -2.205 0.726
```

---

No. 19
Density functional theory data (GGA-PBE) for an optimized crystal structure of Tb12ZrIn3.

Values from the calculation:
Its space-group type is P4/mmm.

extended XYZ file:
```
16
Lattice="4.850 0.000 0.000 0.000 4.850 0.000 0.000 0.000 19.668" Properties=species:S:1:pos:R:3 pbc="T T T"
Tb 0.000 0.000 0.000
Tb 0.000 0.000 4.888
Tb 0.000 0.000 9.834
Tb 0.000 0.000 14.780
Tb 0.000 2.425 2.452
Tb 0.000 2.425 7.391
Tb 0.000 2.425 12.277
Tb 0.000 2.425 17.216
Tb 2.425 0.000 2.452
Tb 2.425 0.000 7.391
Tb 2.425 0.000 12.277
Tb 2.425 0.000 17.216
Zr 2.425 2.425 9.834
In 2.425 2.425 0.000
In 2.425 2.425 4.849
In 2.425 2.425 14.819
```

---

No. 20
Density functional theory data (GGA-PBE) for an optimized crystal structure of TbZrIn.

Values from the calculation:
The energy relative to the lowest polymorph listed for this composition comes out at 8 meV/atom. Its space-group type is Cmcm.

extended XYZ file:
```
12
Lattice="4.538 0.000 0.000 0.000 11.295 0.000 0.000 0.000 6.255" Properties=species:S:1:pos:R:3 pbc="T T T"
Tb 0.000 2.226 1.564
Tb 0.000 9.070 4.691
Tb 2.269 3.422 4.691
Tb 2.269 7.874 1.564
Zr 0.000 5.648 0.000
Zr 0.000 5.648 3.128
Zr 2.269 0.000 0.000
Zr 2.269 0.000 3.128
In 0.000 1.235 4.691
In 0.000 10.060 1.564
In 2.269 4.413 1.564
In 2.269 6.883 4.691
```

---

Record-wise total magnetization values, in Bohr magnetons per cell: 0.00, 0.00, 1.76, 0.00, 0.00, 0.00, 0.00, 0.00, 0.00, 0.00, 0.00, 0.00, 0.00, 0.00, 0.63, 0.00, 0.00, 0.00, 0.00, 0.00
Record-wise total energy values, in eV per cell: -43.43, -27.96, -68.38, -46.02, -52.73, -42.57, -91.27, -73.08, -63.90, -47.27, -46.64, -33.10, -44.90, -15.83, -36.53, -32.31, -32.04, -67.61, -75.27, -66.10